The following is a DFT calculation (PBE-GGA) of a relaxed EuScTl2 crystal.

E_form in meV/atom: -266
Distance to the lowest polymorph of the same formula in meV per atom: 79

Geometry as POSCAR:
```
EuScTl2
1.0
-1.169 1.128 -3.420
3.698 -3.139 -2.299
-3.520 -4.050 -0.132
Tl Sc Eu
2 1 1
Direct
0.000 0.500 0.000 Tl
0.000 0.000 0.500 Tl
0.500 0.000 0.000 Sc
0.500 0.500 0.500 Eu
```

The following is a DFT calculation (PBE-GGA) of a relaxed EuSc2Tl crystal.

E_form in meV/atom: -94
Distance to the lowest polymorph of the same formula in meV per atom: 0

Geometry as POSCAR:
```
EuSc2Tl
1.0
4.615 0.000 0.000
0.000 4.755 0.000
0.000 0.000 4.755
Sc Tl Eu
2 1 1
Direct
0.000 0.000 0.500 Sc
0.000 0.500 0.000 Sc
0.500 0.500 0.500 Tl
0.500 0.000 0.000 Eu
```

The following is a DFT calculation (PBE-GGA) of a relaxed EuScTl2 crystal.

E_form in meV/atom: -345
Distance to the lowest polymorph of the same formula in meV per atom: 0

Geometry as POSCAR:
```
EuScTl2
1.0
-1.462 3.424 0.559
-1.736 -0.197 -3.335
-6.102 -3.154 3.364
Tl Sc Eu
2 1 1
Direct
0.000 0.000 0.220 Tl
0.000 0.000 0.780 Tl
0.500 0.500 0.000 Sc
0.500 0.500 0.500 Eu
```

The following is a DFT calculation (PBE-GGA) of a relaxed EuSc2Tl crystal.

E_form in meV/atom: -35
Distance to the lowest polymorph of the same formula in meV per atom: 59

Geometry as POSCAR:
```
EuSc2Tl
1.0
3.477 0.000 0.000
0.000 3.477 0.000
0.000 0.000 9.045
Sc Tl Eu
2 1 1
Direct
0.000 0.000 0.212 Sc
0.000 0.000 0.788 Sc
0.500 0.500 0.000 Tl
0.500 0.500 0.500 Eu
```

The following is a DFT calculation (PBE-GGA) of a relaxed EuScTl2 crystal.

E_form in meV/atom: -296
Distance to the lowest polymorph of the same formula in meV per atom: 49

Geometry as POSCAR:
```
EuScTl2
1.0
5.358 0.000 0.000
2.679 4.640 0.000
2.679 1.547 4.374
Tl Sc Eu
2 1 1
Direct
0.250 0.250 0.250 Tl
0.750 0.750 0.750 Tl
0.500 0.500 0.500 Sc
0.000 0.000 0.000 Eu
```

The following is a DFT calculation (PBE-GGA) of a relaxed EuTmSc2 crystal.

E_form in meV/atom: 159
Distance to the lowest polymorph of the same formula in meV per atom: 0

Geometry as POSCAR:
```
EuTmSc2
1.0
3.806 0.000 0.000
0.000 3.806 0.000
0.000 0.000 8.024
Sc Tm Eu
2 1 1
Direct
0.000 0.000 0.232 Sc
0.000 0.000 0.768 Sc
0.500 0.500 0.000 Tm
0.500 0.500 0.500 Eu
```

The following is a DFT calculation (PBE-GGA) of a relaxed Eu2TmSc crystal.

E_form in meV/atom: 213
Distance to the lowest polymorph of the same formula in meV per atom: 34

Geometry as POSCAR:
```
Eu2TmSc
1.0
-1.576 0.133 -5.465
3.812 -1.068 -4.087
-0.312 -4.831 -2.989
Tm Eu Sc
1 2 1
Direct
0.000 0.000 0.000 Tm
0.250 0.250 0.250 Eu
0.750 0.750 0.750 Eu
0.500 0.500 0.500 Sc
```

The following is a DFT calculation (PBE-GGA) of a relaxed EuTmSc crystal.

E_form in meV/atom: 114

Geometry as POSCAR:
```
EuTmSc
1.0
-2.863 1.455 -1.524
0.808 -1.616 -3.062
-2.984 -5.715 4.294
Sc Eu Tm
1 1 1
Direct
0.675 0.675 0.351 Sc
0.004 0.004 0.009 Eu
0.320 0.320 0.640 Tm
```

The following is a DFT calculation (PBE-GGA) of a relaxed Eu2TmSc crystal.

E_form in meV/atom: 299
Distance to the lowest polymorph of the same formula in meV per atom: 119

Geometry as POSCAR:
```
Eu2TmSc
1.0
3.475 0.000 0.000
1.738 3.010 0.000
1.738 1.003 12.430
Eu Sc Tm
2 1 1
Direct
0.085 0.085 0.746 Eu
0.915 0.915 0.254 Eu
0.000 0.000 0.000 Sc
0.500 0.500 0.500 Tm
```

The following is a DFT calculation (PBE-GGA) of a relaxed Eu2TmSc crystal.

E_form in meV/atom: 181
Distance to the lowest polymorph of the same formula in meV per atom: 2

Geometry as POSCAR:
```
Eu2TmSc
1.0
5.173 0.000 0.000
0.000 5.032 0.000
0.000 0.000 5.032
Eu Tm Sc
2 1 1
Direct
0.000 0.500 0.000 Eu
0.000 0.000 0.500 Eu
0.500 0.000 0.000 Tm
0.500 0.500 0.500 Sc
```

The following is a DFT calculation (PBE-GGA) of a relaxed Eu2TmSc crystal.

E_form in meV/atom: 179
Distance to the lowest polymorph of the same formula in meV per atom: 0

Geometry as POSCAR:
```
Eu2TmSc
1.0
-1.451 2.182 -2.422
-3.087 -1.773 0.252
-3.020 6.325 7.507
Sc Eu Tm
1 2 1
Direct
0.500 0.500 0.000 Sc
0.000 0.000 0.759 Eu
0.000 0.000 0.241 Eu
0.500 0.500 0.500 Tm
```

The following is a DFT calculation (PBE-GGA) of a relaxed EuTmSc2 crystal.

E_form in meV/atom: 177
Distance to the lowest polymorph of the same formula in meV per atom: 18

Geometry as POSCAR:
```
EuTmSc2
1.0
-0.325 1.039 3.691
-4.999 -2.174 0.172
2.132 -4.780 1.533
Tm Sc Eu
1 2 1
Direct
0.500 0.000 0.000 Tm
0.000 0.500 0.000 Sc
0.000 0.000 0.500 Sc
0.500 0.500 0.500 Eu
```

The following is a DFT calculation (PBE-GGA) of a relaxed EuTmSc crystal.

E_form in meV/atom: 115

Geometry as POSCAR:
```
EuTmSc
1.0
-0.471 -2.298 -2.619
-1.751 -0.397 3.024
-6.385 4.805 -3.067
Tm Sc Eu
1 1 1
Direct
0.333 0.667 0.648 Tm
0.667 0.333 0.346 Sc
0.000 0.000 0.007 Eu
```

The following is a DFT calculation (PBE-GGA) of a relaxed EuTmSc2 crystal.

E_form in meV/atom: 178
Distance to the lowest polymorph of the same formula in meV per atom: 19

Geometry as POSCAR:
```
EuTmSc2
1.0
-0.841 1.321 5.220
-4.978 -0.486 2.166
-1.006 -3.902 3.670
Sc Eu Tm
2 1 1
Direct
0.750 0.750 0.750 Sc
0.250 0.250 0.250 Sc
0.000 0.000 0.000 Eu
0.500 0.500 0.500 Tm
```

The following is a DFT calculation (PBE-GGA) of a relaxed EuYTmSc crystal.

E_form in meV/atom: 182

Geometry as POSCAR:
```
EuYTmSc
1.0
5.602 0.000 0.000
2.801 4.852 0.000
2.801 1.617 4.574
Y Tm Sc Eu
1 1 1 1
Direct
0.500 0.500 0.500 Y
0.000 0.000 0.000 Tm
0.750 0.750 0.750 Sc
0.250 0.250 0.250 Eu
```

The following is a DFT calculation (PBE-GGA) of a relaxed EuYSc2 crystal.

E_form in meV/atom: 162
Distance to the lowest polymorph of the same formula in meV per atom: 4

Geometry as POSCAR:
```
EuYSc2
1.0
4.741 0.000 0.000
0.000 4.965 0.000
0.000 0.000 4.965
Sc Y Eu
2 1 1
Direct
0.000 0.000 0.500 Sc
0.000 0.500 0.000 Sc
0.500 0.000 0.000 Y
0.500 0.500 0.500 Eu
```

The following is a DFT calculation (PBE-GGA) of a relaxed EuYSc crystal.

E_form in meV/atom: 113
Distance to the lowest polymorph of the same formula in meV per atom: 5

Geometry as POSCAR:
```
EuYSc
1.0
3.555 0.000 0.000
-1.777 3.078 0.000
0.000 0.000 8.636
Y Eu Sc
1 1 1
Direct
0.333 0.667 0.647 Y
0.000 0.000 0.009 Eu
0.667 0.333 0.344 Sc
```

The following is a DFT calculation (PBE-GGA) of a relaxed EuY2Sc crystal.

E_form in meV/atom: 135
Distance to the lowest polymorph of the same formula in meV per atom: 57

Geometry as POSCAR:
```
EuY2Sc
1.0
-1.986 4.598 0.392
-3.539 -1.246 -3.310
-2.932 -1.584 3.732
Eu Sc Y
1 1 2
Direct
0.500 0.500 0.500 Eu
0.500 0.000 0.000 Sc
0.000 0.000 0.500 Y
0.000 0.500 0.000 Y
```

The following is a DFT calculation (PBE-GGA) of a relaxed EuY2Sc crystal.

E_form in meV/atom: 181
Distance to the lowest polymorph of the same formula in meV per atom: 103

Geometry as POSCAR:
```
EuY2Sc
1.0
3.489 0.000 0.000
1.745 3.022 0.000
1.745 1.007 12.245
Eu Y Sc
1 2 1
Direct
0.000 0.000 0.000 Eu
0.906 0.906 0.281 Y
0.094 0.094 0.719 Y
0.500 0.500 0.500 Sc
```

The following is a DFT calculation (PBE-GGA) of a relaxed EuYSc2 crystal.

E_form in meV/atom: 158
Distance to the lowest polymorph of the same formula in meV per atom: 0

Geometry as POSCAR:
```
EuYSc2
1.0
3.853 0.000 0.000
0.000 3.853 0.000
0.000 0.000 7.947
Eu Y Sc
1 1 2
Direct
0.500 0.500 0.000 Eu
0.500 0.500 0.500 Y
0.000 0.000 0.260 Sc
0.000 0.000 0.740 Sc
```

The following is a DFT calculation (PBE-GGA) of a relaxed EuYSc crystal.

E_form in meV/atom: 108
Distance to the lowest polymorph of the same formula in meV per atom: 0

Geometry as POSCAR:
```
EuYSc
1.0
3.614 0.000 0.000
0.000 3.614 0.000
-1.807 -1.807 7.300
Sc Y Eu
1 1 1
Direct
0.674 0.674 0.348 Sc
0.319 0.319 0.639 Y
0.007 0.007 0.013 Eu
```

The following is a DFT calculation (PBE-GGA) of a relaxed EuY2Sc crystal.

E_form in meV/atom: 79
Distance to the lowest polymorph of the same formula in meV per atom: 0

Geometry as POSCAR:
```
EuY2Sc
1.0
3.655 0.000 0.000
0.000 3.655 0.000
0.000 0.000 9.642
Eu Sc Y
1 1 2
Direct
0.500 0.500 0.500 Eu
0.500 0.500 0.000 Sc
0.000 0.000 0.783 Y
0.000 0.000 0.217 Y
```

The following is a DFT calculation (PBE-GGA) of a relaxed EuYSc2 crystal.

E_form in meV/atom: 173
Distance to the lowest polymorph of the same formula in meV per atom: 16

Geometry as POSCAR:
```
EuYSc2
1.0
5.491 0.000 0.000
2.745 4.755 0.000
2.745 1.585 4.483
Y Sc Eu
1 2 1
Direct
0.500 0.500 0.500 Y
0.750 0.750 0.750 Sc
0.250 0.250 0.250 Sc
0.000 0.000 0.000 Eu
```

The following is a DFT calculation (PBE-GGA) of a relaxed EuY2Sc crystal.

E_form in meV/atom: 175
Distance to the lowest polymorph of the same formula in meV per atom: 96

Geometry as POSCAR:
```
EuY2Sc
1.0
5.639 0.000 0.000
2.820 4.884 0.000
2.820 1.628 4.604
Eu Y Sc
1 2 1
Direct
0.500 0.500 0.500 Eu
0.250 0.250 0.250 Y
0.750 0.750 0.750 Y
0.000 0.000 0.000 Sc
```

The following is a DFT calculation (PBE-GGA) of a relaxed EuSc2Zn crystal.

E_form in meV/atom: 137
Distance to the lowest polymorph of the same formula in meV per atom: 204

Geometry as POSCAR:
```
EuSc2Zn
1.0
-1.293 -2.416 -1.889
1.290 -3.066 0.106
-6.786 -4.410 7.351
Zn Sc Eu
1 2 1
Direct
0.500 0.500 0.500 Zn
0.102 0.102 0.695 Sc
0.898 0.898 0.305 Sc
0.000 0.000 0.000 Eu
```

The following is a DFT calculation (PBE-GGA) of a relaxed EuSc2Zn crystal.

E_form in meV/atom: -67
Distance to the lowest polymorph of the same formula in meV per atom: 0

Geometry as POSCAR:
```
EuSc2Zn
1.0
-2.985 1.535 0.554
-1.293 -2.929 1.148
2.536 2.029 8.034
Sc Zn Eu
2 1 1
Direct
0.000 0.000 0.814 Sc
0.000 0.000 0.186 Sc
0.500 0.500 0.000 Zn
0.500 0.500 0.500 Eu
```

The following is a DFT calculation (PBE-GGA) of a relaxed EuScZn4 crystal.

E_form in meV/atom: -255

Geometry as POSCAR:
```
EuScZn4
1.0
-3.981 -2.409 2.805
1.156 -2.748 4.542
-1.503 1.981 4.831
Zn Sc Eu
4 1 1
Direct
0.626 0.122 0.626 Zn
0.626 0.626 0.122 Zn
0.626 0.626 0.626 Zn
0.122 0.626 0.626 Zn
0.000 0.000 0.000 Sc
0.250 0.250 0.250 Eu
```

The following is a DFT calculation (PBE-GGA) of a relaxed Eu2ScZn crystal.

E_form in meV/atom: -11

Geometry as POSCAR:
```
Eu2ScZn
1.0
3.672 0.000 0.000
0.000 3.672 0.000
0.000 0.000 8.668
Eu Sc Zn
2 1 1
Direct
0.000 0.000 0.782 Eu
0.000 0.000 0.218 Eu
0.500 0.500 0.500 Sc
0.500 0.500 0.000 Zn
```

The following is a DFT calculation (PBE-GGA) of a relaxed EuZrSc crystal.

E_form in meV/atom: 149
Distance to the lowest polymorph of the same formula in meV per atom: 0

Geometry as POSCAR:
```
EuZrSc
1.0
-2.809 0.152 1.754
-0.800 -3.052 -1.018
5.372 -1.475 5.599
Sc Zr Eu
1 1 1
Direct
0.684 0.684 0.368 Sc
0.320 0.320 0.640 Zr
0.996 0.996 0.992 Eu
```

The following is a DFT calculation (PBE-GGA) of a relaxed EuZrSc crystal.

E_form in meV/atom: 173
Distance to the lowest polymorph of the same formula in meV per atom: 24

Geometry as POSCAR:
```
EuZrSc
1.0
3.359 0.000 0.000
-1.679 2.909 0.000
0.000 0.000 8.395
Zr Sc Eu
1 1 1
Direct
0.333 0.667 0.648 Zr
0.667 0.333 0.359 Sc
0.000 0.000 0.993 Eu
```

The following is a DFT calculation (PBE-GGA) of a relaxed EuSe3 crystal.

ΔE_f (raw) in eV/atom: -0.87

Geometry as POSCAR:
```
EuSe3
1.0
4.208 0.000 0.000
0.000 4.208 0.000
0.000 0.000 5.996
Eu Se
1 3
Direct
0.000 0.835 0.000 Eu
0.500 0.332 0.500 Se
0.000 0.831 0.500 Se
0.500 0.335 0.000 Se
```